A relaxed structure of LiAl2Cl. Source: Alexandria, functional PBE.

POSCAR file:
```
LiAl2Cl
1.0
3.3251 0.0000 0.0000
0.0000 3.2859 0.0119
0.0000 1.6141 7.3622
Al Li Cl
2 1 1
direct
0.5000 0.4544 0.2172
0.0000 0.0496 0.0264
0.5000 0.7819 0.5608
0.0000 0.2141 0.6956
```

Computed properties:
- total magnetic moment (μB/f.u.) = 0.00
- DOS at the Fermi energy (states/eV per atom) = 0.35
- energy (eV per atom) = -3.308
- calculated volume (A^3/atom) = 20.09


A relaxed structure of TlP3N. Source: Alexandria, functional PBE.

POSCAR file:
```
TlP3N
1.0
5.2577 0.0000 0.0000
0.0000 5.2577 0.0000
0.0000 0.0000 5.2577
P Tl N
3 1 1
direct
0.0000 0.0000 0.5000
0.5000 0.0000 0.0000
0.0000 0.5000 0.0000
0.0000 0.0000 0.0000
0.5000 0.5000 0.5000
```

Computed properties:
- total magnetic moment (μB/f.u.) = 0.59
- DOS at the Fermi energy (states/eV per atom) = 1.00
- energy (eV per atom) = -2.870
- calculated volume (A^3/atom) = 29.07


A relaxed structure of Li3Dy2BeCu12. Source: Alexandria, functional PBE.

POSCAR file:
```
Li3Dy2BeCu12
1.0
10.9437 3.3101 2.3478
8.2829 7.8813 2.3478
8.2829 4.8213 6.6620
Cu Be Li Dy
12 1 3 2
direct
0.8751 0.3996 0.3996
0.3764 0.8917 0.8917
0.1083 0.1083 0.6236
0.6236 0.1083 0.1083
0.8917 0.3764 0.8917
0.6004 0.1249 0.6004
0.3996 0.3996 0.8751
0.8917 0.8917 0.3764
0.1249 0.6004 0.6004
0.3996 0.8751 0.3996
0.1083 0.6236 0.1083
0.6004 0.6004 0.1249
0.0000 0.0000 0.0000
0.0000 0.5000 0.0000
0.5000 0.0000 0.0000
0.0000 0.0000 0.5000
0.6446 0.6446 0.6446
0.3554 0.3554 0.3554
```

Computed properties:
- total magnetic moment (μB/f.u.) = 0.00
- DOS at the Fermi energy (states/eV per atom) = 0.45
- energy relative to the elements (eV per atom) = 0.084
- calculated volume (A^3/atom) = 15.16


A relaxed structure of SrTlPt. Source: Alexandria, functional PBE.

POSCAR file:
```
SrTlPt
1.0
4.4599 0.0000 0.0000
0.0000 7.8396 0.0934
0.0000 0.1367 13.4099
Tl Sr Pt
6 6 6
direct
0.2500 0.9921 0.0898
0.2500 0.8462 0.4547
0.2500 0.3744 0.2055
0.7500 0.6256 0.7945
0.7500 0.1538 0.5453
0.7500 0.0079 0.9102
0.2500 0.4691 0.6231
0.2500 0.9604 0.7098
0.2500 0.3446 0.9214
0.7500 0.0396 0.2902
0.7500 0.6554 0.0786
0.7500 0.5309 0.3769
0.7500 0.2613 0.7502
0.7500 0.2410 0.0900
0.2500 0.7590 0.9100
0.2500 0.2357 0.4181
0.2500 0.7387 0.2498
0.7500 0.7643 0.5819
```

Computed properties:
- total magnetic moment (μB/f.u.) = 0.00
- DOS at the Fermi energy (states/eV per atom) = 0.49
- energy relative to the elements (eV per atom) = -0.620
- calculated volume (A^3/atom) = 26.04